# 1
## CsK3Zn (PBE)

Data for an optimized crystal structure of CsK3Zn.

Unit cell a=8.5592 b=8.5592 c=8.5592 alpha=90.00 beta=90.00 gamma=90.00
Closest atoms and distances in Å follow each position.
Positions (direct):
K  0.0000  0.5000  0.0000  2 Cs 4.28
K  0.5000  0.0000  0.0000  2 Cs 4.28
Zn  0.5000  0.5000  0.5000  none within 6
Cs  0.0000  0.0000  0.0000  6 K 4.28
K  0.0000  0.0000  0.5000  2 Cs 4.28

Summary:
Symmetry: Pm-3m
Relative energy among the computed polymorphs in eV per atom: 0.423
Total DFT energy (no corrections) in eV per atom: -0.57
Calculated formation energy in meV per atom: 516
Calculated volume in Å³/cell: 627.1

# 2
## SrMgRh2 (PBE)

Data for an optimized crystal structure of SrMgRh2.

Unit cell a=5.6260 b=5.6260 c=5.0422 alpha=70.81 beta=70.81 gamma=31.59
Closest atoms and distances in Å follow each position.
Positions (direct):
Sr  0.4826  0.4826  0.5588  7 Rh 2.93-3.09, 2 Sr 3.06, 1 Mg 3.19
Rh  0.7200  0.7200  0.7147  2 Rh 2.69, 1 Sr 2.93, 2 Mg 2.96
Rh  0.0223  0.0223  0.0415  2 Rh 2.69, 2 Sr 2.93, 2 Mg 2.95
Mg  0.2752  0.2752  0.1850  7 Rh 2.95-3.06, 2 Mg 3.06, 1 Sr 3.19

Summary:
Symmetry: Cm
Total DFT energy (no corrections) in eV per atom: -4.60
Calculated formation energy in meV per atom: -102
Calculated volume in Å³/cell: 78.6

# 3
## IrPtSe2 (PBE)

Data for an optimized crystal structure of IrPtSe2.

Unit cell a=2.8663 b=5.1212 c=4.6047 alpha=90.00 beta=90.00 gamma=90.00
Closest atoms and distances in Å follow each position.
Positions (direct):
Ir  0.5000  0.0000  0.5000  4 Se 2.71, 2 Ir 2.87, 4 Pt 2.93
Se  0.5000  0.5000  0.0000  4 Pt 2.71, 6 Se 2.87-2.93
Se  0.0000  0.0000  0.0000  4 Ir 2.71, 6 Se 2.87-2.93
Pt  0.0000  0.5000  0.5000  4 Se 2.71, 2 Pt 2.87, 4 Ir 2.93

Summary:
Energy relative to the elements, uncorrected in eV/atom: 0.53
Symmetry: Pmmm
Total DFT energy (no corrections) in eV per atom: -4.93
Calculated volume in Å³/cell: 67.6

# 4
## AgOsRu3 (PBE)

Data for an optimized crystal structure of AgOsRu3.

Unit cell a=4.6844 b=4.6844 c=4.6844 alpha=90.00 beta=90.00 gamma=90.00
Closest atoms and distances in Å follow each position.
Positions (direct):
Ru  0.0000  0.0000  0.5000  2 Os 2.34
Ag  0.5000  0.5000  0.5000  12 Ru 3.31
Ru  0.0000  0.5000  0.0000  2 Os 2.34
Ru  0.5000  0.0000  0.0000  2 Os 2.34
Os  0.0000  0.0000  0.0000  6 Ru 2.34

Summary:
Symmetry: Pm-3m
Relative energy among the computed polymorphs in eV per atom: 0.000
Total DFT energy (no corrections) in eV per atom: -6.71
Calculated formation energy in meV per atom: 1673
Calculated volume in Å³/cell: 102.8

# 5
## Sr2PuPd (PBE)

Data for an optimized crystal structure of Sr2PuPd.

Unit cell a=3.9424 b=3.9424 c=11.5449 alpha=80.17 beta=80.17 gamma=60.00
Closest atoms and distances in Å follow each position.
Positions (direct):
Sr  0.1101  0.1101  0.6697  3 Pd 2.98
Pd  0.5000  0.5000  0.5000  6 Sr 2.98
Sr  0.8899  0.8899  0.3303  3 Pd 2.98
Pu  0.0000  0.0000  0.0000  2 Sr 3.74, 6 Pu 3.94

Summary:
Symmetry: R-3m
Total DFT energy (no corrections) in eV per atom: -5.57
Calculated formation energy in meV per atom: 156
Calculated volume in Å³/cell: 152.3

# 6
## KCdIn2Hg2 (PBE)

Data for an optimized crystal structure of KCdIn2Hg2.

Unit cell a=5.0682 b=5.0682 c=8.1658 alpha=90.00 beta=90.00 gamma=120.00
Closest atoms and distances in Å follow each position.
Positions (direct):
In  0.6667  0.3333  0.3190  3 Hg 2.96, 3 Cd 3.28
In  0.3333  0.6667  0.6810  3 Hg 2.96, 3 Cd 3.28
Hg  0.6667  0.3333  0.7332  3 In 2.96
Hg  0.3333  0.6667  0.2668  3 In 2.96
Cd  0.0000  0.0000  0.5000  6 In 3.28, 6 Hg 3.49
K  0.0000  0.0000  0.0000  6 Hg 3.65, 6 In 3.92, 2 Cd 4.08

Summary:
Symmetry: P-3m1
Total DFT energy (no corrections) in eV per atom: -1.46
Calculated formation energy in meV per atom: -107
Calculated volume in Å³/cell: 181.6